No. 1
PS2BrO: optimized geometry, PBE-GGA.

a = 4.697 Å, b = 4.697 Å, c = 5.113 Å
α = 90.00°, β = 90.00°, γ = 90.00°
Element x y z (fractional)
P 0.000 0.000 0.000
S 0.000 0.500 0.500
S 0.500 0.000 0.500
Br 0.000 0.000 0.500
O 0.500 0.500 0.000

Values from the calculation:
* E above lowest polymorph: 1.015 eV per atom
* density of states at the Fermi level: 8.83 states/eV/f.u.
* calculated volume: 112.8 Å³ per cell
* formation energy (no corrections): 9.67 eV per formula unit
* final energy: -10.6 eV per formula unit

***

No. 2
LiYTa2P: optimized geometry, PBE-GGA.

a = 5.065 Å, b = 5.065 Å, c = 4.148 Å
α = 90.00°, β = 90.00°, γ = 90.00°
Element x y z (fractional)
Li 0.000 0.000 0.000
Y 0.000 0.000 0.500
Ta 0.000 0.500 0.500
Ta 0.500 0.000 0.500
P 0.500 0.500 0.000

Values from the calculation:
* density of states at the Fermi level: 4.90 states/eV/f.u.
* E_form: 2.14 eV/atom
* calculated volume: 106.4 Å³ per cell
* final energy: -26.8 eV per formula unit

***

No. 3
CoSN2: optimized geometry, PBE-GGA.

a = 3.206 Å, b = 3.206 Å, c = 7.490 Å
α = 90.00°, β = 90.00°, γ = 120.00°
Element x y z (fractional)
Co 0.000 0.000 0.000
S 0.333 0.667 0.858
N 0.000 0.000 0.254
N 0.000 0.000 0.404

Values from the calculation:
* E above lowest polymorph: 0.000 eV per atom
* density of states at the Fermi level: 0.67 states/eV/f.u.
* calculated volume: 66.7 Å³ per cell
* formation energy (no corrections): -0.15 eV per formula unit
* final energy: -28.0 eV per formula unit

***

No. 4
Pm2Y2Sb5: optimized geometry, PBE-GGA.

a = 8.966 Å, b = 8.966 Å, c = 8.271 Å
α = 90.00°, β = 90.00°, γ = 53.53°
Element x y z (fractional)
Pm 0.191 0.191 0.000
Pm 0.309 0.309 0.500
Pm 0.691 0.691 0.500
Pm 0.809 0.809 0.000
Y 0.157 0.843 0.662
Y 0.343 0.657 0.162
Y 0.657 0.343 0.838
Y 0.843 0.157 0.338
Sb 0.000 0.000 0.000
Sb 0.006 0.720 0.357
Sb 0.220 0.506 0.857
Sb 0.280 0.994 0.357
Sb 0.494 0.780 0.857
Sb 0.500 0.500 0.500
Sb 0.506 0.220 0.143
Sb 0.720 0.006 0.643
Sb 0.780 0.494 0.143
Sb 0.994 0.280 0.643

Values from the calculation:
* density of states at the Fermi level: 6.50 states/eV/f.u.
* calculated volume: 534.7 Å³ per cell
* formation energy (no corrections): -8.03 eV per formula unit
* final energy: -51.1 eV per formula unit